1.
# SmInCl2 | the Alexandria database | PBE | optimized geometry
data_SmInCl2
_cell_length_a 10.176
_cell_length_b 10.176
_cell_length_c 10.176
_cell_angle_alpha 22.03
_cell_angle_beta 22.03
_cell_angle_gamma 22.03
_space_group_name_H-M_alt 'P 1'
_space_group_IT_number 1
loop_
_space_group_symop_operation_xyz
'x,y,z'
loop_
_atom_site_label
_atom_site_fract_x
_atom_site_fract_y
_atom_site_fract_z
Sm1 0.000 0.000 0.000
In1 0.500 0.500 0.500
Cl1 0.089 0.089 0.089
Cl2 0.911 0.911 0.911
# Final energy ... -3.7447 eV/atom
# E_form (uncorrected) ... -957 meV per atom

=====

2.
# FeAg2Bi2 | the Alexandria database | PBE | optimized geometry
data_FeAg2Bi2
_cell_length_a 7.226
_cell_length_b 7.226
_cell_length_c 4.402
_cell_angle_alpha 90.00
_cell_angle_beta 90.00
_cell_angle_gamma 90.00
_space_group_name_H-M_alt 'P 1'
_space_group_IT_number 1
loop_
_space_group_symop_operation_xyz
'x,y,z'
loop_
_atom_site_label
_atom_site_fract_x
_atom_site_fract_y
_atom_site_fract_z
Fe1 0.000 0.000 0.000
Fe2 0.500 0.500 0.000
Ag1 0.139 0.361 0.000
Ag2 0.361 0.861 0.000
Ag3 0.639 0.139 0.000
Ag4 0.861 0.639 0.000
Bi1 0.173 0.673 0.500
Bi2 0.327 0.173 0.500
Bi3 0.673 0.827 0.500
Bi4 0.827 0.327 0.500
# Final energy ... -3.9296 eV/atom
# E_form ... 44.0 kJ per mole of atoms

=====

3.
# Tl3Hg12As5 | the Alexandria database | PBE | optimized geometry
data_Tl3Hg12As5
_cell_length_a 14.559
_cell_length_b 14.559
_cell_length_c 14.559
_cell_angle_alpha 109.47
_cell_angle_beta 109.47
_cell_angle_gamma 109.47
_space_group_name_H-M_alt 'P 1'
_space_group_IT_number 1
loop_
_space_group_symop_operation_xyz
'x,y,z'
loop_
_atom_site_label
_atom_site_fract_x
_atom_site_fract_y
_atom_site_fract_z
Tl1 0.125 0.250 0.375
Tl2 0.125 0.375 0.750
Tl3 0.250 0.375 0.125
Tl4 0.250 0.875 0.625
Tl5 0.375 0.125 0.250
Tl6 0.375 0.750 0.125
Tl7 0.625 0.250 0.875
Tl8 0.625 0.875 0.750
Tl9 0.750 0.125 0.375
Tl10 0.750 0.625 0.875
Tl11 0.875 0.625 0.250
Tl12 0.875 0.750 0.625
Hg1 0.041 0.219 0.113
Hg2 0.041 0.322 0.928
Hg3 0.072 0.613 0.394
Hg4 0.072 0.959 0.678
Hg5 0.106 0.719 0.678
Hg6 0.106 0.887 0.428
Hg7 0.113 0.041 0.219
Hg8 0.113 0.572 0.894
Hg9 0.178 0.219 0.606
Hg10 0.178 0.459 0.572
Hg11 0.219 0.113 0.041
Hg12 0.219 0.606 0.178
Hg13 0.281 0.322 0.894
Hg14 0.281 0.459 0.387
Hg15 0.322 0.894 0.281
Hg16 0.322 0.928 0.041
Hg17 0.387 0.281 0.459
Hg18 0.387 0.606 0.928
Hg19 0.394 0.072 0.613
Hg20 0.394 0.822 0.781
Hg21 0.428 0.106 0.887
Hg22 0.428 0.822 0.541
Hg23 0.459 0.387 0.281
Hg24 0.459 0.572 0.178
Hg25 0.541 0.428 0.822
Hg26 0.541 0.613 0.719
Hg27 0.572 0.178 0.459
Hg28 0.572 0.894 0.113
Hg29 0.606 0.178 0.219
Hg30 0.606 0.928 0.387
Hg31 0.613 0.394 0.072
Hg32 0.613 0.719 0.541
Hg33 0.678 0.072 0.959
Hg34 0.678 0.106 0.719
Hg35 0.719 0.541 0.613
Hg36 0.719 0.678 0.106
Hg37 0.781 0.394 0.822
Hg38 0.781 0.887 0.959
Hg39 0.822 0.541 0.428
Hg40 0.822 0.781 0.394
Hg41 0.887 0.428 0.106
Hg42 0.887 0.959 0.781
Hg43 0.894 0.113 0.572
Hg44 0.894 0.281 0.322
Hg45 0.928 0.041 0.322
Hg46 0.928 0.387 0.606
Hg47 0.959 0.678 0.072
Hg48 0.959 0.781 0.887
As1 0.000 0.000 0.000
As2 0.000 0.000 0.500
As3 0.000 0.500 0.000
As4 0.000 0.500 0.500
As5 0.125 0.750 0.875
As6 0.125 0.875 0.250
As7 0.250 0.125 0.875
As8 0.250 0.625 0.375
As9 0.375 0.250 0.625
As10 0.375 0.625 0.750
As11 0.500 0.000 0.000
As12 0.500 0.000 0.500
As13 0.500 0.500 0.000
As14 0.500 0.500 0.500
As15 0.625 0.375 0.250
As16 0.625 0.750 0.375
As17 0.750 0.375 0.625
As18 0.750 0.875 0.125
As19 0.875 0.125 0.750
As20 0.875 0.250 0.125
# Final energy ... -1.5502 eV/atom
# E_form ... 14.3 kJ per mole of atoms

=====

4.
# Tl2ZnNi | the Alexandria database | PBE | optimized geometry
data_Tl2ZnNi
_cell_length_a 9.618
_cell_length_b 9.618
_cell_length_c 9.618
_cell_angle_alpha 153.29
_cell_angle_beta 153.29
_cell_angle_gamma 38.13
_space_group_name_H-M_alt 'P 1'
_space_group_IT_number 1
loop_
_space_group_symop_operation_xyz
'x,y,z'
loop_
_atom_site_label
_atom_site_fract_x
_atom_site_fract_y
_atom_site_fract_z
Tl1 0.109 0.625 0.984
Tl2 0.375 0.359 0.484
Tl3 0.641 0.125 0.016
Tl4 0.875 0.891 0.516
Zn1 0.250 0.750 0.500
Zn2 0.500 0.500 0.000
Ni1 0.000 0.000 0.000
Ni2 0.750 0.250 0.500
# Final energy ... -2.5094 eV/atom
# E above lowest polymorph ... 1.22 eV per formula unit
# E_form ... 42.2 kJ per mole of atoms

=====

5.
# BaAcNd2 | the Alexandria database | PBE | optimized geometry
data_BaAcNd2
_cell_length_a 12.986
_cell_length_b 12.986
_cell_length_c 12.986
_cell_angle_alpha 17.27
_cell_angle_beta 17.27
_cell_angle_gamma 17.27
_space_group_name_H-M_alt 'P 1'
_space_group_IT_number 1
loop_
_space_group_symop_operation_xyz
'x,y,z'
loop_
_atom_site_label
_atom_site_fract_x
_atom_site_fract_y
_atom_site_fract_z
Ba1 0.000 0.000 0.000
Ac1 0.834 0.834 0.834
Nd1 0.421 0.421 0.421
Nd2 0.580 0.580 0.580
# Final energy ... -3.7633 eV/atom
# E above lowest polymorph ... 0.06 eV per formula unit
# E_form ... 12.4 kJ per mole of atoms

=====

Q: Look up the final energy of the second one.
A: -3.9296 eV/atom